LuMoClO4: optimized geometry, GGA-PBEsol.

Cell and atoms, written as POSCAR:
```
LuMoClO4
1.0
5.8246 0.0000 0.0000
2.1014 6.0717 0.0000
1.4831 1.5177 6.4382
Lu Mo Cl O
2 2 2 8
Cartesian
2.3801 1.7692 2.3868 Lu
7.0290 5.8202 4.0515 Lu
4.0974 3.3216 4.9291 Mo
5.3117 4.2679 1.5091 Mo
1.1525 1.2942 4.6948 Cl
8.2566 6.2952 1.7434 Cl
2.6693 4.2367 4.4862 O
2.6353 1.5637 0.2151 O
3.8867 3.3514 1.9585 O
3.9770 1.7402 4.0460 O
5.4321 5.8493 2.3922 O
5.5224 4.2381 4.4797 O
6.7738 6.0258 6.2231 O
6.7398 3.3527 1.9520 O
```

VASP energy	-8.19	eV per atom
V	228	Å³/cell
Fermi-level density of states	0.00	states/eV per atom
uncorrected formation energy	-2531	meV/atom

***

MgTc2Te: optimized geometry, GGA-PBEsol.

Cell and atoms, written as POSCAR:
```
MgTc2Te
1.0
4.4512 -1.5374 0.0000
4.4512 1.5374 0.0000
-0.9204 0.0000 4.8248
Mg Tc Te
1 2 1
Cartesian
0.0000 0.0000 0.0000 Mg
1.4657 0.0000 3.5951 Tc
6.5164 0.0000 1.2297 Tc
3.9911 0.0000 2.4124 Te
```

VASP energy	-6.55	eV per atom
V	66	Å³/cell
Fermi-level density of states	1.26	states/eV per atom
uncorrected formation energy	392	meV/atom

***

K2SbSe: optimized geometry, GGA-PBEsol.

Cell and atoms, written as POSCAR:
```
K2SbSe
1.0
-2.3438 2.3438 5.1062
2.3438 -2.3438 5.1062
2.3438 2.3438 -5.1062
K Sb Se
2 1 1
Cartesian
2.3438 0.0000 2.5531 K
0.0000 2.3438 2.5531 K
0.0000 0.0000 0.0000 Sb
0.0000 0.0000 5.1062 Se
```

VASP energy	-3.15	eV per atom
V	112	Å³/cell
Fermi-level density of states	0.31	states/eV per atom
uncorrected formation energy	-480	meV/atom

***

GaSe3S: optimized geometry, GGA-PBEsol.

Cell and atoms, written as POSCAR:
```
GaSe3S
1.0
4.8360 0.0000 0.0000
0.0000 4.8360 0.0000
0.0000 0.0000 4.8360
Ga Se S
1 3 1
Cartesian
0.0000 0.0000 0.0000 Ga
0.0000 0.0000 2.4180 Se
0.0000 2.4180 0.0000 Se
2.4180 0.0000 0.0000 Se
2.4180 2.4180 2.4180 S
```

VASP energy	-3.17	eV per atom
V	113	Å³/cell
Fermi-level density of states	0.88	states/eV per atom
uncorrected formation energy	684	meV/atom

***

Ba5Na2Ru3O14: optimized geometry, GGA-PBEsol.

Cell and atoms, written as POSCAR:
```
Ba5Na2Ru3O14
1.0
5.7871 0.0000 0.0000
0.0000 24.2846 0.0000
-2.8676 0.0000 5.1225
Ba Na Ru O
10 4 6 28
Cartesian
5.6963 0.0000 0.1574 Ba
-2.7768 12.1423 4.9651 Ba
-0.0189 20.1007 0.1724 Ba
0.0324 14.6872 3.2834 Ba
0.0997 5.3493 3.1886 Ba
-0.0362 22.1953 3.5666 Ba
2.9557 10.0530 1.5559 Ba
2.8198 17.4916 1.9339 Ba
2.8871 2.5450 1.8391 Ba
2.9384 7.9585 4.9501 Ba
-0.1000 18.4832 3.5539 Na
-0.0188 1.6421 3.5294 Na
2.9383 13.7844 1.5932 Na
3.0195 6.3409 1.5686 Na
-0.0199 16.0655 0.0780 Ru
0.0453 8.6656 3.2552 Ru
0.1020 11.4009 3.2779 Ru
2.8175 23.5432 1.8446 Ru
2.8742 20.8078 1.8673 Ru
2.9394 3.9233 5.0446 Ru
-1.3638 7.7429 2.4642 O
-1.2456 12.4399 2.4683 O
-2.0992 17.5338 4.5021 O
-1.2448 10.0635 4.0496 O
0.0911 3.0990 1.6745 O
0.0661 10.0489 1.7315 O
0.0080 16.9286 1.8313 O
1.0196 14.7269 0.6718 O
-1.0515 3.7195 4.8844 O
1.5228 22.1380 1.0810 O
0.0014 7.6219 4.8288 O
1.3803 7.6488 2.4103 O
0.1499 12.3962 4.8822 O
1.4174 0.2058 2.6261 O
1.5021 12.3481 2.4964 O
2.7696 0.2540 0.2403 O
1.5392 19.7911 2.7122 O
2.9182 19.7642 0.2937 O
1.3967 9.9957 4.0415 O
3.9711 15.8618 0.2381 O
1.9000 2.5846 4.4507 O
2.9116 4.7863 3.2912 O
2.8534 22.1912 3.3910 O
2.8284 15.2413 3.4481 O
4.1644 22.2058 1.0729 O
5.0187 5.3915 0.6204 O
4.1652 0.2976 2.6542 O
4.2833 19.8852 2.6584 O
```

VASP energy	-6.81	eV per atom
V	720	Å³/cell
Fermi-level density of states	0.23	states/eV per atom
uncorrected formation energy	-1911	meV/atom

***

ScTeBr: optimized geometry, GGA-PBEsol.

Cell and atoms, written as POSCAR:
```
ScTeBr
1.0
3.9312 0.0000 0.0000
-1.9656 3.4045 0.0000
0.0000 0.0000 6.5907
Sc Te Br
1 1 1
Cartesian
0.0000 0.0000 0.0000 Sc
0.0000 2.2697 4.9383 Te
1.9656 1.1348 1.6269 Br
```

VASP energy	-5.39	eV per atom
V	88	Å³/cell
uncorrected formation energy	-1385	meV/atom

***

> uncorrected formation energy of number 2 (MgTc2Te)?

392 meV/atom